The following is a DFT calculation (PBE) of Be2AsOs after structural relaxation.

Cell: 8.406 2.918 4.041 Å, 90.00 95.84 90.00°
Space group Cm (No. 8)
Inequivalent atoms, fractional coordinates:
Be (0.000, 0.000, 0.000)
Be (0.244, 0.000, 0.765)
As (0.278, 0.500, 0.301)
Os (0.011, 0.500, 0.532)

Summary:
- DFT total energy: -45.5 eV/cell
- Total moment: 0.00 μB per formula unit
- E_form: 0.14 eV/atom